[1]
! PuScAlGa (PBE-GGA, relaxed); values from VASP
&SYSTEM
  ibrav = 0, nat = 16, ntyp = 4
/
ATOMIC_SPECIES
Pu 244.00 Pu.upf
Sc 44.96 Sc.upf
Al 26.98 Al.upf
Ga 69.72 Ga.upf
CELL_PARAMETERS angstrom
6.954 0.000 0.000
0.000 6.954 0.000
0.000 0.000 6.954
ATOMIC_POSITIONS angstrom
Pu 0.000 0.000 0.000
Pu 0.000 3.477 3.477
Pu 3.477 0.000 3.477
Pu 3.477 3.477 0.000
Sc 0.000 0.000 3.477
Sc 0.000 3.477 0.000
Sc 3.477 0.000 0.000
Sc 3.477 3.477 3.477
Al 1.739 1.739 1.739
Al 1.739 5.216 5.216
Al 5.216 1.739 5.216
Al 5.216 5.216 1.739
Ga 1.739 1.739 5.216
Ga 1.739 5.216 1.739
Ga 5.216 1.739 1.739
Ga 5.216 5.216 5.216
! magnetization	5.4	μB per formula unit
! total energy	-0.529	Ry per atom
! SG	F-43m
! formation energy from the elements	-7.85	kcal/mol of atoms

=====

[2]
! PuAlGaSi (PBE-GGA, relaxed); values from VASP
&SYSTEM
  ibrav = 0, nat = 4, ntyp = 4
/
ATOMIC_SPECIES
Pu 244.00 Pu.upf
Al 26.98 Al.upf
Ga 69.72 Ga.upf
Si 28.09 Si.upf
CELL_PARAMETERS angstrom
4.088 0.000 0.000
0.000 4.158 0.000
0.000 0.000 4.342
ATOMIC_POSITIONS angstrom
Pu 0.000 0.000 0.000
Al 0.000 2.079 2.171
Ga 2.044 0.000 2.171
Si 2.044 2.079 0.000
! uncorrected formation energy	-0.34	eV/atom
! magnetization	5.2	μB per formula unit
! total energy	-0.513	Ry per atom
! SG	Pmmm

=====

[3]
! SmPuAlGa (PBE-GGA, relaxed); values from VASP
&SYSTEM
  ibrav = 0, nat = 16, ntyp = 4
/
ATOMIC_SPECIES
Sm 150.36 Sm.upf
Pu 244.00 Pu.upf
Al 26.98 Al.upf
Ga 69.72 Ga.upf
CELL_PARAMETERS angstrom
7.259 0.000 0.000
0.000 7.259 0.000
0.000 0.000 7.259
ATOMIC_POSITIONS angstrom
Sm 0.000 0.000 0.000
Sm 0.000 3.630 3.630
Sm 3.630 0.000 3.630
Sm 3.630 3.630 0.000
Pu 0.000 0.000 3.630
Pu 0.000 3.630 0.000
Pu 3.630 0.000 0.000
Pu 3.630 3.630 3.630
Al 1.815 1.815 5.444
Al 1.815 5.444 1.815
Al 5.444 1.815 1.815
Al 5.444 5.444 5.444
Ga 1.815 1.815 1.815
Ga 1.815 5.444 5.444
Ga 5.444 1.815 5.444
Ga 5.444 5.444 1.815
! magnetization	5.5	μB per formula unit
! total energy	-0.496	Ry per atom
! SG	F-43m
! formation energy from the elements	-6.65	kcal/mol of atoms

=====

[4]
! PuAlGaSn (PBE-GGA, relaxed); values from VASP
&SYSTEM
  ibrav = 0, nat = 4, ntyp = 4
/
ATOMIC_SPECIES
Pu 244.00 Pu.upf
Al 26.98 Al.upf
Ga 69.72 Ga.upf
Sn 118.71 Sn.upf
CELL_PARAMETERS angstrom
4.360 0.000 0.000
0.000 4.399 0.000
0.000 0.000 4.459
ATOMIC_POSITIONS angstrom
Pu 0.000 0.000 0.000
Al 2.180 0.000 2.230
Ga 2.180 2.199 0.000
Sn 0.000 2.199 2.230
! magnetization	5.5	μB per formula unit
! total energy	-0.486	Ry per atom
! SG	Pmmm
! formation energy from the elements	-7.61	kcal/mol of atoms

=====

[5]
! Sr2PuAl3Ga12 (PBE-GGA, relaxed); values from VASP
&SYSTEM
  ibrav = 0, nat = 18, ntyp = 4
/
ATOMIC_SPECIES
Sr 87.62 Sr.upf
Pu 244.00 Pu.upf
Al 26.98 Al.upf
Ga 69.72 Ga.upf
CELL_PARAMETERS angstrom
3.387 1.955 10.423
-3.387 1.955 10.423
0.000 -3.911 10.423
ATOMIC_POSITIONS angstrom
Sr 0.000 0.000 4.484
Sr 0.000 0.000 26.786
Pu 0.000 0.000 15.635
Al -1.693 -0.978 10.423
Al -1.693 0.978 20.846
Al 0.000 1.955 10.423
Ga 0.000 -2.338 8.970
Ga -2.025 1.169 8.970
Ga -1.483 -0.856 13.309
Ga -2.025 -1.169 22.300
Ga 0.000 -1.712 17.961
Ga -1.483 0.856 17.961
Ga 1.483 -0.856 13.309
Ga 0.000 1.712 13.309
Ga 2.025 1.169 8.970
Ga 1.483 0.856 17.961
Ga 2.025 -1.169 22.300
Ga 0.000 2.338 22.300
! magnetization	6.4	μB per formula unit
! total energy	-0.270	Ry per atom
! SG	R-3m
! formation energy from the elements	-1.15	kcal/mol of atoms

=====

[6]
! PuAlGaTc (PBE-GGA, relaxed); values from VASP
&SYSTEM
  ibrav = 0, nat = 16, ntyp = 4
/
ATOMIC_SPECIES
Pu 244.00 Pu.upf
Al 26.98 Al.upf
Ga 69.72 Ga.upf
Tc 98.00 Tc.upf
CELL_PARAMETERS angstrom
6.579 0.000 0.000
0.000 6.579 0.000
0.000 0.000 6.579
ATOMIC_POSITIONS angstrom
Pu 0.000 0.000 0.000
Pu 0.000 3.290 3.290
Pu 3.290 0.000 3.290
Pu 3.290 3.290 0.000
Al 0.000 0.000 3.290
Al 0.000 3.290 0.000
Al 3.290 0.000 0.000
Al 3.290 3.290 3.290
Ga 1.645 1.645 1.645
Ga 1.645 4.934 4.934
Ga 4.934 1.645 4.934
Ga 4.934 4.934 1.645
Tc 1.645 1.645 4.934
Tc 1.645 4.934 1.645
Tc 4.934 1.645 1.645
Tc 4.934 4.934 4.934
! magnetization	4.7	μB per formula unit
! total energy	-0.579	Ry per atom
! SG	F-43m
! formation energy from the elements	-0.39	kcal/mol of atoms

=====

[7]
! Pu2AlGa6Tc (PBE-GGA, relaxed); values from VASP
&SYSTEM
  ibrav = 0, nat = 20, ntyp = 4
/
ATOMIC_SPECIES
Pu 244.00 Pu.upf
Al 26.98 Al.upf
Ga 69.72 Ga.upf
Tc 98.00 Tc.upf
CELL_PARAMETERS angstrom
3.179 1.835 11.710
-3.179 1.835 11.710
0.000 -3.671 11.710
ATOMIC_POSITIONS angstrom
Pu 0.000 0.000 4.660
Pu 0.000 0.000 10.777
Pu 0.000 0.000 24.354
Pu 0.000 0.000 30.471
Al 0.000 0.000 0.000
Al 0.000 0.000 17.565
Ga -1.913 -1.105 16.027
Ga 0.000 -2.058 13.639
Ga -1.782 1.029 13.639
Ga -1.782 -1.029 21.492
Ga 0.000 -2.209 19.104
Ga -1.913 1.105 19.104
Ga 1.913 -1.105 16.027
Ga 0.000 2.209 16.027
Ga 1.782 1.029 13.639
Ga 1.782 -1.029 21.492
Ga 0.000 2.058 21.492
Ga 1.913 1.105 19.104
Tc 0.000 0.000 14.946
Tc 0.000 0.000 20.185
! magnetization	0.3	μB per formula unit
! total energy	-0.458	Ry per atom
! SG	R-3m
! formation energy from the elements	-3.21	kcal/mol of atoms

=====

[8]
! PuThAlGa (PBE-GGA, relaxed); values from VASP
&SYSTEM
  ibrav = 0, nat = 16, ntyp = 4
/
ATOMIC_SPECIES
Pu 244.00 Pu.upf
Th 232.04 Th.upf
Al 26.98 Al.upf
Ga 69.72 Ga.upf
CELL_PARAMETERS angstrom
7.285 0.000 0.000
0.000 7.285 0.000
0.000 0.000 7.285
ATOMIC_POSITIONS angstrom
Pu 0.000 0.000 0.000
Pu 0.000 3.643 3.643
Pu 3.643 0.000 3.643
Pu 3.643 3.643 0.000
Th 0.000 0.000 3.643
Th 0.000 3.643 0.000
Th 3.643 0.000 0.000
Th 3.643 3.643 3.643
Al 1.821 1.821 1.821
Al 1.821 5.464 5.464
Al 5.464 1.821 5.464
Al 5.464 5.464 1.821
Ga 1.821 1.821 5.464
Ga 1.821 5.464 1.821
Ga 5.464 1.821 1.821
Ga 5.464 5.464 5.464
! magnetization	5.6	μB per formula unit
! total energy	-0.541	Ry per atom
! SG	F-43m
! formation energy from the elements	-5.32	kcal/mol of atoms

=====

[9]
! TmPuAlGa (PBE-GGA, relaxed); values from VASP
&SYSTEM
  ibrav = 0, nat = 16, ntyp = 4
/
ATOMIC_SPECIES
Tm 168.93 Tm.upf
Pu 244.00 Pu.upf
Al 26.98 Al.upf
Ga 69.72 Ga.upf
CELL_PARAMETERS angstrom
7.123 0.000 0.000
0.000 7.123 0.000
0.000 0.000 7.123
ATOMIC_POSITIONS angstrom
Tm 0.000 0.000 0.000
Tm 0.000 3.562 3.562
Tm 3.562 0.000 3.562
Tm 3.562 3.562 0.000
Pu 0.000 0.000 3.562
Pu 0.000 3.562 0.000
Pu 3.562 0.000 0.000
Pu 3.562 3.562 3.562
Al 1.781 1.781 5.342
Al 1.781 5.342 1.781
Al 5.342 1.781 1.781
Al 5.342 5.342 5.342
Ga 1.781 1.781 1.781
Ga 1.781 5.342 5.342
Ga 5.342 1.781 5.342
Ga 5.342 5.342 1.781
! magnetization	5.5	μB per formula unit
! total energy	-0.494	Ry per atom
! SG	F-43m
! formation energy from the elements	-7.52	kcal/mol of atoms

=====

[10]
! YPuAlGa (PBE-GGA, relaxed); values from VASP
&SYSTEM
  ibrav = 0, nat = 16, ntyp = 4
/
ATOMIC_SPECIES
Y 88.91 Y.upf
Pu 244.00 Pu.upf
Al 26.98 Al.upf
Ga 69.72 Ga.upf
CELL_PARAMETERS angstrom
7.184 0.000 0.000
0.000 7.184 0.000
0.000 0.000 7.184
ATOMIC_POSITIONS angstrom
Y 0.000 0.000 0.000
Y 0.000 3.592 3.592
Y 3.592 0.000 3.592
Y 3.592 3.592 0.000
Pu 0.000 0.000 3.592
Pu 0.000 3.592 0.000
Pu 3.592 0.000 0.000
Pu 3.592 3.592 3.592
Al 1.796 1.796 1.796
Al 1.796 5.388 5.388
Al 5.388 1.796 5.388
Al 5.388 5.388 1.796
Ga 1.796 1.796 5.388
Ga 1.796 5.388 1.796
Ga 5.388 1.796 1.796
Ga 5.388 5.388 5.388
! magnetization	5.5	μB per formula unit
! total energy	-0.530	Ry per atom
! SG	F-43m
! formation energy from the elements	-7.48	kcal/mol of atoms

=====

[11]
! Pu2Al3Zn4Ga (PBE-GGA, relaxed); values from VASP
&SYSTEM
  ibrav = 0, nat = 10, ntyp = 4
/
ATOMIC_SPECIES
Pu 244.00 Pu.upf
Al 26.98 Al.upf
Zn 65.41 Zn.upf
Ga 69.72 Ga.upf
CELL_PARAMETERS angstrom
4.200 0.000 0.000
0.000 4.200 0.000
0.000 0.000 10.723
ATOMIC_POSITIONS angstrom
Pu 0.000 2.100 2.685
Pu 2.100 0.000 8.037
Al 0.000 0.000 0.000
Al 0.000 2.100 6.813
Al 2.100 0.000 3.910
Zn 0.000 0.000 5.361
Zn 0.000 2.100 9.247
Zn 2.100 0.000 1.476
Zn 2.100 2.100 5.361
Ga 2.100 2.100 0.000
! magnetization	10.9	μB per formula unit
! total energy	-0.367	Ry per atom
! SG	P-4m2
! formation energy from the elements	-4.48	kcal/mol of atoms

=====

[12]
! Pu2AlZn3Ga4 (PBE-GGA, relaxed); values from VASP
&SYSTEM
  ibrav = 0, nat = 10, ntyp = 4
/
ATOMIC_SPECIES
Pu 244.00 Pu.upf
Al 26.98 Al.upf
Zn 65.41 Zn.upf
Ga 69.72 Ga.upf
CELL_PARAMETERS angstrom
4.156 0.000 0.000
0.000 4.156 0.000
0.000 0.000 10.934
ATOMIC_POSITIONS angstrom
Pu 0.000 2.078 2.733
Pu 2.078 0.000 8.201
Al 0.000 0.000 5.467
Zn 0.000 2.078 9.436
Zn 2.078 0.000 1.499
Zn 2.078 2.078 5.467
Ga 0.000 0.000 0.000
Ga 0.000 2.078 7.015
Ga 2.078 0.000 3.919
Ga 2.078 2.078 0.000
! magnetization	11.1	μB per formula unit
! total energy	-0.375	Ry per atom
! SG	P-4m2
! formation energy from the elements	-6.15	kcal/mol of atoms

=====

Q: What is the total energy in the second record?
A: -0.513 Ry per atom

=====

Q: Among the records above, which one has the highest magnetization?
A: Pu2AlZn3Ga4